1.
VASP calculation (GGA-PBE) on crystalline AcSmHo2Er4 at its relaxed geometry.

Summary:
E_tot, eV per cell: -65.18
D(E_F), states/eV/f.u.: 18.4
DFT formation energy, eV per atom: 0.456
Size of the total moment, μB per cell: 3.57
Space-group type: Imma (74)

a = 9.582 Å, b = 9.582 Å, c = 11.855 Å
α = 128.21°, β = 128.21°, γ = 88.71°
Atoms (fractional coordinates):
Ac 0.000 0.500 0.000
Ac 0.000 0.500 0.500
Sm 0.500 0.500 0.500
Sm 0.000 0.000 0.000
Ho 0.500 0.000 0.000
Ho 0.500 0.000 0.500
Ho 0.000 0.000 0.500
Ho 0.500 0.500 0.000
Er 0.266 0.760 0.013
Er 0.740 0.234 0.487
Er 0.260 0.766 0.513
Er 0.734 0.240 0.987
Er 0.741 0.760 0.003
Er 0.740 0.759 0.497
Er 0.260 0.241 0.503
Er 0.259 0.240 0.997

2.
VASP calculation (GGA-PBE) on crystalline Sm5TmCd4 at its relaxed geometry.

Summary:
E_tot, eV per cell: -34.11
D(E_F), states/eV/f.u.: 12.4
DFT formation energy, eV per atom: -0.239
Size of the total moment, μB per cell: 0.98
Space-group type: P4/mmm (123)

a = 3.758 Å, b = 3.758 Å, c = 20.332 Å
α = 90.00°, β = 90.00°, γ = 90.00°
Atoms (fractional coordinates):
Sm 0.500 0.500 0.116
Sm 0.500 0.500 0.309
Sm 0.500 0.500 0.500
Sm 0.500 0.500 0.691
Sm 0.500 0.500 0.884
Tm 0.000 0.000 0.000
Cd 0.000 0.000 0.212
Cd 0.000 0.000 0.404
Cd 0.000 0.000 0.596
Cd 0.000 0.000 0.788